Here is crystalline Y4ZrRe at its relaxed geometry from the Alexandria database. Energies are from PBE.

Geometry as CIF:
```
data_Y4ZrRe
_cell_length_a 6.027
_cell_length_b 6.027
_cell_length_c 6.027
_cell_angle_alpha 60.00
_cell_angle_beta 60.00
_cell_angle_gamma 60.00
_symmetry_space_group_name_H-M 'P 1'
_symmetry_Int_Tables_number 1
loop_
_symmetry_equiv_pos_as_xyz
'x,y,z'
loop_
_atom_site_label
_atom_site_fract_x
_atom_site_fract_y
_atom_site_fract_z
Y1 0.877 0.374 0.374
Y2 0.374 0.374 0.877
Y3 0.374 0.877 0.374
Y4 0.374 0.374 0.374
Zr1 0.750 0.750 0.750
Re1 0.000 0.000 0.000
```

Properties
Final energy   -6.865 eV/atom
Symmetry   F-43m
Volume   155 Å³/cell
ΔE_f   5.664 eV/f.u.